(1)
{
  "formula": "PmSm2Pt",
  "functional": "PBE",
  "state": "relaxed",
  "dos_ef_per_ev_cell": 4.448,
  "e_above_lowest_polymorph_ev_per_fu": 0.75,
  "e_form_ev_per_fu": -1.85,
  "sg": "R-3m (166)",
  "lattice": [[3.8902, 0.0000, 0.0000], [1.9451, 3.3690, 0.0000], [1.9451, 1.1230, 9.6442]],
  "species": ["Pm", "Pt", "Sm", "Sm"],
  "fractional_positions": [[0.5000, 0.5000, 0.5000], [0.0000, 0.0000, 0.0000], [0.7284, 0.7284, 0.8148], [0.2716, 0.2716, 0.1852]]
}

(2)
{
  "formula": "Dy2Ho2Th15",
  "functional": "PBE",
  "state": "relaxed",
  "dos_ef_per_ev_cell": 38.261,
  "e_form_ev_per_fu": 5.64,
  "sg": "R-3m (166)",
  "lattice": [[-0.7142, -0.0060, 8.7218], [8.2929, 1.9075, 2.0416], [-0.8680, 8.6108, 1.2961]],
  "species": ["Th", "Th", "Th", "Th", "Th", "Th", "Th", "Th", "Th", "Th", "Th", "Th", "Th", "Th", "Th", "Dy", "Dy", "Ho", "Ho"],
  "fractional_positions": [[0.6415, 0.6415, 0.1557], [0.0000, 0.6997, 0.3003], [0.6997, 0.3003, 0.0000], [0.3003, 0.0000, 0.6997], [0.0000, 0.5000, 0.0000], [0.6997, 0.0000, 0.3003], [0.8443, 0.3585, 0.3585], [0.0000, 0.0000, 0.5000], [0.1557, 0.6415, 0.6415], [0.0000, 0.3003, 0.6997], [0.6415, 0.1557, 0.6415], [0.5000, 0.0000, 0.0000], [0.3585, 0.3585, 0.8443], [0.3003, 0.6997, 0.0000], [0.3585, 0.8443, 0.3585], [0.6874, 0.6874, 0.6874], [0.3126, 0.3126, 0.3126], [0.9025, 0.9025, 0.9025], [0.0975, 0.0975, 0.0975]]
}

(3)
{
  "formula": "Tl2ReRh",
  "functional": "PBE",
  "state": "relaxed",
  "dos_ef_per_ev_cell": 2.968,
  "e_above_lowest_polymorph_ev_per_fu": 2.37,
  "e_form_ev_per_fu": 4.02,
  "sg": "F-43m (216)",
  "lattice": [[-1.8161, -1.6972, 4.0991], [-1.2150, 3.0231, 3.5166], [-4.6213, 0.7185, 1.0532]],
  "species": ["Rh", "Tl", "Tl", "Re"],
  "fractional_positions": [[0.2500, 0.2500, 0.2500], [0.0000, 0.0000, 0.0000], [0.7500, 0.7500, 0.7500], [0.5000, 0.5000, 0.5000]]
}

(4)
{
  "formula": "AcW2S6",
  "functional": "PBE",
  "state": "relaxed",
  "dos_ef_per_ev_cell": 5.391,
  "e_form_raw_mev_per_atom": -750,
  "sg": "C2/m (12)",
  "lattice": [[-0.1562, 4.5179, -1.6434], [-5.5765, 3.0584, 1.8990], [2.1323, 4.7234, 5.7433]],
  "species": ["S", "S", "S", "S", "S", "S", "W", "W", "Ac"],
  "fractional_positions": [[0.6669, 0.2439, 0.4222], [0.9732, 0.8771, 0.1765], [0.7235, 0.6384, 0.9146], [0.2765, 0.3616, 0.0854], [0.0268, 0.1229, 0.8235], [0.3331, 0.7561, 0.5778], [0.1875, 0.7293, 0.8956], [0.8125, 0.2707, 0.1044], [0.0000, 0.5000, 0.5000]]
}

(5)
{
  "formula": "Ac3InNi3",
  "functional": "PBE",
  "state": "relaxed",
  "dos_ef_per_ev_cell": 9.146,
  "e_above_lowest_polymorph_ev_per_fu": 1.08,
  "e_form_ev_per_fu": -1.05,
  "sg": "P6_3/m (176)",
  "lattice": [[-2.0487, -5.2628, -1.3649], [7.3543, -3.7946, 3.5927], [-7.2674, 1.4982, 5.1315]],
  "species": ["In", "In", "Ni", "Ni", "Ni", "Ni", "Ni", "Ni", "Ac", "Ac", "Ac", "Ac", "Ac", "Ac"],
  "fractional_positions": [[0.7500, 0.3333, 0.6667], [0.2500, 0.6667, 0.3333], [0.2500, 0.3739, 0.0540], [0.7500, 0.6261, 0.9460], [0.7500, 0.0540, 0.6801], [0.7500, 0.3199, 0.3739], [0.2500, 0.6801, 0.6261], [0.2500, 0.9460, 0.3199], [0.7500, 0.3527, 0.0553], [0.7500, 0.7026, 0.6473], [0.7500, 0.9447, 0.2974], [0.2500, 0.2974, 0.3527], [0.2500, 0.0553, 0.7026], [0.2500, 0.6473, 0.9447]]
}

(6)
{
  "formula": "NaGaPb",
  "functional": "PBE",
  "state": "relaxed",
  "dos_ef_per_ev_cell": 2.416,
  "e_form_ev_per_fu": -0.21,
  "sg": "Cm (8)",
  "lattice": [[4.4962, 0.0133, -0.0204], [2.2364, 5.6013, 0.5302], [0.0264, 4.0999, 6.8466]],
  "species": ["Pb", "Pb", "Na", "Na", "Ga", "Ga"],
  "fractional_positions": [[0.7164, 0.0571, 0.5490], [0.1141, 0.2602, 0.8444], [0.8791, 0.7320, 0.2506], [0.4518, 0.5867, 0.9741], [0.1722, 0.1452, 0.2616], [0.4467, 0.5971, 0.5750]]
}

(7)
{
  "formula": "K5Na24",
  "functional": "PBE",
  "state": "relaxed",
  "dos_ef_per_ev_cell": 15.457,
  "e_form_ev_per_fu": 0.52,
  "sg": "I-43m (217)",
  "lattice": [[11.0215, 0.0000, -3.8967], [-5.5108, 9.5449, -3.8967], [0.0000, 0.0000, 11.6901]],
  "species": ["K", "K", "K", "K", "K", "Na", "Na", "Na", "Na", "Na", "Na", "Na", "Na", "Na", "Na", "Na", "Na", "Na", "Na", "Na", "Na", "Na", "Na", "Na", "Na", "Na", "Na", "Na", "Na"],
  "fractional_positions": [[0.6287, 0.6287, 0.6287], [0.3713, 0.0000, 0.0000], [0.0000, 0.0000, 0.3713], [0.0000, 0.3713, 0.0000], [0.0000, 0.0000, 0.0000], [0.1930, 0.1930, 0.8135], [0.8070, 0.0000, 0.6205], [0.2714, 0.6714, 0.6714], [0.3286, 0.6000, 0.0000], [0.1930, 0.8135, 0.1930], [0.6714, 0.2714, 0.6714], [0.6000, 0.3286, 0.0000], [0.6714, 0.6714, 0.2714], [0.7286, 0.4000, 0.4000], [0.0000, 0.3286, 0.6000], [0.6205, 0.8070, 0.0000], [0.3795, 0.3795, 0.1865], [0.4000, 0.4000, 0.7286], [0.3286, 0.0000, 0.6000], [0.8070, 0.6205, 0.0000], [0.0000, 0.6000, 0.3286], [0.6000, 0.0000, 0.3286], [0.4000, 0.7286, 0.4000], [0.8135, 0.1930, 0.1930], [0.6205, 0.0000, 0.8070], [0.0000, 0.6205, 0.8070], [0.3795, 0.1865, 0.3795], [0.0000, 0.8070, 0.6205], [0.1865, 0.3795, 0.3795]]
}

(8)
{
  "formula": "BaAc3S",
  "functional": "PBE",
  "state": "relaxed",
  "dos_ef_per_ev_cell": 6.759,
  "e_form_raw_mev_per_atom": -676,
  "sg": "Pm-3m (221)",
  "lattice": [[-4.2180, -0.1831, -4.2414], [3.9501, -2.3599, -3.8264], [-1.5554, -5.4965, 1.7842]],
  "species": ["Ac", "Ac", "Ac", "S", "Ba"],
  "fractional_positions": [[0.5000, 0.0000, 0.0000], [0.0000, 0.0000, 0.5000], [0.0000, 0.5000, 0.0000], [0.0000, 0.0000, 0.0000], [0.5000, 0.5000, 0.5000]]
}

(9)
{
  "formula": "Dy2LuAl",
  "functional": "PBE",
  "state": "relaxed",
  "dos_ef_per_ev_cell": 4.479,
  "e_above_lowest_polymorph_ev_per_fu": 0.00,
  "e_form_ev_per_fu": -0.77,
  "sg": "P4/mmm (123)",
  "lattice": [[4.7034, 0.0000, 0.0000], [0.0000, 4.7354, 0.0000], [0.0000, 0.0000, 4.7354]],
  "species": ["Al", "Dy", "Dy", "Lu"],
  "fractional_positions": [[0.5000, 0.0000, 0.0000], [0.0000, 0.5000, 0.0000], [0.0000, 0.0000, 0.5000], [0.5000, 0.5000, 0.5000]]
}

(10)
{
  "formula": "In2Ir3S2",
  "functional": "PBE",
  "state": "relaxed",
  "dos_ef_per_ev_cell": 4.477,
  "e_form_raw_mev_per_atom": -285,
  "sg": "R-3m (166)",
  "lattice": [[5.0508, 0.0000, 2.6676], [1.8209, 4.7111, 2.6676], [0.2476, 0.1697, 5.6465]],
  "species": ["Ir", "Ir", "Ir", "S", "S", "In", "In"],
  "fractional_positions": [[0.0000, 0.5000, 0.0000], [0.5000, 0.5000, 0.0000], [0.5000, 0.0000, 0.0000], [0.2147, 0.2147, 0.3558], [0.7853, 0.7853, 0.6442], [0.0000, 0.0000, 0.0000], [0.5000, 0.5000, 0.5000]]
}

(11)
{
  "formula": "YTcOs",
  "functional": "PBE",
  "state": "relaxed",
  "dos_ef_per_ev_cell": 11.777,
  "e_above_lowest_polymorph_ev_per_fu": 0.00,
  "e_form_ev_per_fu": -0.74,
  "sg": "Amm2 (38)",
  "lattice": [[-0.7066, -3.5147, -4.0436], [2.8587, -1.3319, 4.3883], [-7.3329, -2.9806, 3.8723]],
  "species": ["Y", "Y", "Y", "Y", "Os", "Os", "Os", "Os", "Tc", "Tc", "Tc", "Tc"],
  "fractional_positions": [[0.3351, 0.6649, 0.8178], [0.3351, 0.6649, 0.1822], [0.6660, 0.3340, 0.3145], [0.6660, 0.3340, 0.6855], [0.1725, 0.8275, 0.5000], [0.8231, 0.1769, 0.0000], [0.3394, 0.1682, 0.0000], [0.8318, 0.6606, 0.0000], [0.1711, 0.3427, 0.5000], [0.0013, 0.9987, 0.2481], [0.6573, 0.8289, 0.5000], [0.0013, 0.9987, 0.7519]]
}

(12)
{
  "formula": "NaAcHg14",
  "functional": "PBE",
  "state": "relaxed",
  "dos_ef_per_ev_cell": 9.881,
  "e_form_ev_per_fu": -2.01,
  "sg": "C2/m (12)",
  "lattice": [[12.1215, -0.6335, 5.9416], [4.4274, 7.8725, 4.0210], [3.6459, -0.6787, 11.0253]],
  "species": ["Hg", "Hg", "Hg", "Hg", "Hg", "Hg", "Hg", "Hg", "Hg", "Hg", "Hg", "Hg", "Hg", "Hg", "Hg", "Hg", "Hg", "Hg", "Hg", "Hg", "Hg", "Hg", "Hg", "Hg", "Hg", "Hg", "Hg", "Hg", "Na", "Na", "Ac", "Ac"],
  "fractional_positions": [[0.1791, 0.8754, 0.8783], [0.5673, 0.3783, 0.3754], [0.9159, 0.8294, 0.9200], [0.6733, 0.6281, 0.6285], [0.6919, 0.1656, 0.5883], [0.0542, 0.0883, 0.6656], [0.7561, 0.3731, 0.8561], [0.2439, 0.6269, 0.1439], [0.0448, 0.3712, 0.4019], [0.9552, 0.6288, 0.5980], [0.4300, 0.8715, 0.8719], [0.0841, 0.1706, 0.0800], [0.3180, 0.0980, 0.1288], [0.6820, 0.9020, 0.8712], [0.5148, 0.3561, 0.8730], [0.3081, 0.8344, 0.4117], [0.8348, 0.4200, 0.3294], [0.3813, 0.2323, 0.7359], [0.4327, 0.6217, 0.6246], [0.3267, 0.3719, 0.3715], [0.6187, 0.7677, 0.2641], [0.8495, 0.7643, 0.2676], [0.4852, 0.6439, 0.1270], [0.5700, 0.1285, 0.1281], [0.8209, 0.1246, 0.1217], [0.1505, 0.2357, 0.7324], [0.1652, 0.5800, 0.6706], [0.9458, 0.9117, 0.3344], [0.5000, 0.0000, 0.5000], [0.0000, 0.0000, 0.5000], [0.1635, 0.4943, 0.0057], [0.8365, 0.5057, 0.9943]]
}

| no. | calculated volume (Å³ per atom) |
| --- | --- |
| 1 | 31.60 |
| 2 | 34.11 |
| 3 | 19.48 |
| 4 | 23.96 |
| 5 | 29.25 |
| 6 | 27.04 |
| 7 | 42.41 |
| 8 | 42.87 |
| 9 | 26.37 |
| 10 | 18.54 |
| 11 | 18.36 |
| 12 | 28.70 |